Density functional theory data (GGA+U) for a relaxed structure of K2NaWF8.

magnetic moment	0.997	μB per formula unit
calculated total energy	-4.893	eV/atom

a = 5.8149 Å, b = 5.8149 Å, c = 11.0081 Å
α = 90.00°, β = 90.00°, γ = 90.00°
Space group I-4m2 (No. 119)
Unique sites:
K: 0.0000 0.0000 0.0000 x2
K: 0.0000 0.5000 0.2500 x2
Na: 0.0000 0.0000 0.5000 x2
W: 0.0000 0.5000 0.7500 x2
F: 0.2007 0.2925 0.6400 x16